1.
DFT (PBE) results for an optimized crystal structure of CsNa2Sn2.

Computed properties:
* space group: No. 139
* excess energy over the best structure of this formula in the dataset: 6 meV per atom

```
CsNa2Sn2
1.0
5.9067 0.0000 0.0000
0.0000 5.9067 0.0000
2.9533 2.9533 5.4843
Cs Na Sn
1 2 2
Direct
0.0000 0.0000 0.0000
0.7500 0.2500 0.5000
0.2500 0.7500 0.5000
0.3762 0.3762 0.2475
0.6238 0.6238 0.7525
```

***

2.
DFT (PBE) results for an optimized crystal structure of CsNaSn4.

Computed properties:
* space group: No. 216
* excess energy over the best structure of this formula in the dataset: 9 meV per atom

```
CsNaSn4
1.0
6.5437 0.0000 0.0000
3.2719 5.6670 0.0000
3.2719 1.8890 5.3429
Cs Na Sn
1 1 4
Direct
0.2500 0.2500 0.2500
0.0000 0.0000 0.0000
0.6263 0.6263 0.1211
0.6263 0.1211 0.6263
0.6263 0.6263 0.6263
0.1211 0.6263 0.6263
```

***

3.
DFT (PBE) results for an optimized crystal structure of Cs5Na2Sn4.

Computed properties:
* space group: No. 12

```
Cs5Na2Sn4
1.0
-3.7308 0.8172 8.2109
0.2790 -7.9298 5.9097
7.0542 0.0732 8.1917
Cs Na Sn
5 2 4
Direct
0.1427 0.3297 0.8943
0.8573 0.6703 0.1057
0.0000 0.5000 0.5000
0.6334 0.3297 0.8943
0.3666 0.6703 0.1057
0.2808 0.9430 0.4954
0.7192 0.0570 0.5046
0.4272 0.9867 0.1588
0.5728 0.0133 0.8412
0.7526 0.7289 0.7658
0.2474 0.2711 0.2342
```

***

4.
DFT (PBE) results for an optimized crystal structure of CsNa2Sn6.

Computed properties:
* space group: No. 12

```
CsNa2Sn6
1.0
4.9776 0.0160 0.0154
2.5091 8.1982 2.1993
2.5091 2.5565 8.0939
Cs Na Sn
1 2 6
Direct
0.0000 0.0000 0.0000
0.1162 0.3857 0.3857
0.8838 0.6143 0.6143
0.3042 0.0015 0.3919
0.6958 0.9985 0.6081
0.6958 0.6081 0.9985
0.5000 0.3267 0.6733
0.5000 0.6733 0.3267
0.3042 0.3919 0.0015
```

***

Results for total moment: 0.000 0.000 0.000 0.000 (in μB/atom, following the order of the records).
Results for E_form: -15.3 -4.6 1.7 -10.2 (in kJ per mole of atoms, following the order of the records).